(1)
The following is a DFT calculation (PBE-GGA) of a geometry-optimized NdTh2Ge3Ir4 structure.

abc: 4.184 4.184 11.685
angles: 90.00 90.00 90.00
Element x y z (fractional)
Nd 0.000 0.000 0.000
Th 0.000 0.500 0.726
Th 0.500 0.000 0.274
Ge 0.000 0.500 0.382
Ge 0.500 0.000 0.618
Ge 0.500 0.500 0.000
Ir 0.000 0.000 0.500
Ir 0.000 0.500 0.173
Ir 0.500 0.000 0.827
Ir 0.500 0.500 0.500

magnetization	0.00	μB per formula unit
space-group type	No. 115
calculated formation energy	-0.752	eV per atom

***

(2)
The following is a DFT calculation (PBE-GGA) of a geometry-optimized TbPuTlGa structure.

abc: 5.261 5.261 5.261
angles: 60.00 60.00 60.00
Element x y z (fractional)
Tb 0.000 0.000 0.000
Pu 0.500 0.500 0.500
Tl 0.250 0.250 0.250
Ga 0.750 0.750 0.750

magnetization	5.98	μB per formula unit
space-group type	No. 216
calculated formation energy	-0.238	eV per atom

***

(3)
The following is a DFT calculation (PBE-GGA) of a geometry-optimized MnH2Cl4 structure.

abc: 3.718 6.257 7.678
angles: 82.71 76.71 74.20
Element x y z (fractional)
Mn 0.000 0.000 0.000
H 0.324 0.570 0.771
H 0.676 0.430 0.229
Cl 0.243 0.776 0.698
Cl 0.453 0.238 0.870
Cl 0.547 0.762 0.130
Cl 0.757 0.224 0.302

energy	-4.06	eV/atom
magnetization	5.00	μB per formula unit
space-group type	No. 2

***

(4)
The following is a DFT calculation (PBE-GGA) of a geometry-optimized Pu2CuSi4Ni3 structure.

abc: 4.008 4.008 9.509
angles: 90.00 90.00 90.00
Element x y z (fractional)
Pu 0.000 0.500 0.248
Pu 0.500 0.000 0.752
Cu 0.000 0.000 0.500
Si 0.000 0.000 0.000
Si 0.000 0.500 0.637
Si 0.500 0.000 0.363
Si 0.500 0.500 0.000
Ni 0.000 0.500 0.879
Ni 0.500 0.000 0.121
Ni 0.500 0.500 0.500

formation energy (no corrections)	-591	meV/atom
magnetization	10.14	μB per formula unit
space-group type	No. 115

***

(5)
The following is a DFT calculation (PBE-GGA) of a geometry-optimized Li2TiCdOs structure.

abc: 4.231 4.231 5.135
angles: 90.00 90.00 90.00
Element x y z (fractional)
Li 0.000 0.500 0.000
Li 0.500 0.000 0.000
Ti 0.000 0.000 0.500
Cd 0.500 0.500 0.000
Os 0.500 0.500 0.500

magnetization	0.00	μB per formula unit
space-group type	No. 123
calculated formation energy	0.954	eV per atom

***

(6)
The following is a DFT calculation (PBE-GGA) of a geometry-optimized Ti2RhO structure.

abc: 5.415 5.415 5.415
angles: 116.04 116.04 97.00
Element x y z (fractional)
Ti 0.050 0.625 0.925
Ti 0.375 0.300 0.425
Ti 0.700 0.125 0.075
Ti 0.875 0.950 0.575
Rh 0.250 0.750 0.500
Rh 0.500 0.500 0.000
O 0.000 0.000 0.000
O 0.750 0.250 0.500

formation energy (no corrections)	-1313	meV/atom
magnetization	0.93	μB per formula unit
space-group type	No. 122

***

(7)
The following is a DFT calculation (PBE-GGA) of a geometry-optimized PmTcMo structure.

abc: 13.536 13.536 13.536
angles: 23.89 23.89 23.89
Element x y z (fractional)
Pm 0.043 0.043 0.043
Pm 0.181 0.181 0.181
Pm 0.262 0.262 0.262
Pm 0.738 0.738 0.738
Pm 0.819 0.819 0.819
Pm 0.957 0.957 0.957
Tc 0.214 0.725 0.725
Tc 0.275 0.275 0.786
Tc 0.275 0.786 0.275
Tc 0.725 0.214 0.725
Tc 0.725 0.725 0.214
Tc 0.786 0.275 0.275
Mo 0.000 0.500 0.500
Mo 0.392 0.392 0.392
Mo 0.500 0.000 0.500
Mo 0.500 0.500 0.000
Mo 0.500 0.500 0.500
Mo 0.608 0.608 0.608

magnetization	0.00	μB per formula unit
space-group type	No. 166
calculated formation energy	0.078	eV per atom

***

(8)
The following is a DFT calculation (PBE-GGA) of a geometry-optimized EuMgSb2 structure.

abc: 4.954 4.954 4.364
angles: 90.00 90.00 90.00
Element x y z (fractional)
Eu 0.000 0.000 0.000
Mg 0.500 0.500 0.000
Sb 0.000 0.500 0.500
Sb 0.500 0.000 0.500

formation energy (no corrections)	-582	meV/atom
magnetization	6.89	μB per formula unit
space-group type	No. 123

***

Q: Among the records above, which one has the highest magnetization?
A: Pu2CuSi4Ni3